[1]
# PBE Rb2Li3NbF12, optimized geometry
data_Rb2Li3NbF12
_chemical_formula_sum 'Rb6 Li9 Nb3 F36'
_cell_length_a 7.1047
_cell_length_b 7.1047
_cell_length_c 20.2965
_cell_angle_alpha 90.00
_cell_angle_beta 90.00
_cell_angle_gamma 120.00
_space_group_name_H-M_alt 'R -3 m'
_space_group_IT_number 166
_space_group_name_Hall '-R 3 2"'
loop_
_atom_site_label
_atom_site_type_symbol
_atom_site_fract_x
_atom_site_fract_y
_atom_site_fract_z
_atom_site_occupancy
Rb1 Rb 0.0000 0.0000 0.0926 1
Li1 Li 0.0000 0.5000 0.0000 1
Nb1 Nb 0.0000 0.0000 0.5000 1
F1 F 0.0695 0.5348 0.3539 1
F2 F 0.0732 0.5366 0.1129 1
# E_form (uncorrected) = -2.57 eV per atom
# VASP energy = -4.80 eV/atom
# DOS(E_F) = 23.0 states/eV per cell



[2]
# PBE RbLiNbF6, optimized geometry
data_RbLiNbF6
_chemical_formula_sum 'Rb2 Li2 Nb2 F12'
_cell_length_a 5.5470
_cell_length_b 5.5470
_cell_length_c 11.9700
_cell_angle_alpha 90.00
_cell_angle_beta 90.00
_cell_angle_gamma 120.00
_space_group_name_H-M_alt 'P -3 1 c'
_space_group_IT_number 163
_space_group_name_Hall '-P 3 2c'
loop_
_atom_site_label
_atom_site_type_symbol
_atom_site_fract_x
_atom_site_fract_y
_atom_site_fract_z
_atom_site_occupancy
Rb1 Rb 0.0000 0.0000 0.0000 1
Li1 Li 0.3333 0.6667 0.2500 1
Nb1 Nb 0.3333 0.6667 0.7500 1
F1 F 0.0071 0.3842 0.6591 1
# E_form (uncorrected) = -2.96 eV per atom
# VASP energy = -5.65 eV/atom
# DOS(E_F) = 5.2 states/eV per cell



[3]
# PBE Li2NbSeF, optimized geometry
data_Li2NbSeF
_chemical_formula_sum 'Li2 Nb1 Se1 F1'
_cell_length_a 3.6798
_cell_length_b 3.6798
_cell_length_c 6.1069
_cell_angle_alpha 90.00
_cell_angle_beta 90.00
_cell_angle_gamma 90.00
_space_group_name_H-M_alt 'P 4/m m m'
_space_group_IT_number 123
_space_group_name_Hall '-P 4 2'
loop_
_atom_site_label
_atom_site_type_symbol
_atom_site_fract_x
_atom_site_fract_y
_atom_site_fract_z
_atom_site_occupancy
Li1 Li 0.0000 0.5000 0.0000 1
Nb1 Nb 0.0000 0.0000 0.5000 1
Se1 Se 0.5000 0.5000 0.5000 1
F1 F 0.5000 0.5000 0.0000 1
# E_form (uncorrected) = -0.99 eV per atom
# VASP energy = -4.84 eV/atom
# DOS(E_F) = 2.5 states/eV per cell



[4]
# PBE SrLi2NbF8, optimized geometry
data_SrLi2NbF8
_chemical_formula_sum 'Sr1 Li2 Nb1 F8'
_cell_length_a 4.7181
_cell_length_b 4.9704
_cell_length_c 7.4177
_cell_angle_alpha 89.50
_cell_angle_beta 89.56
_cell_angle_gamma 80.63
_space_group_name_H-M_alt 'P -1'
_space_group_IT_number 2
_space_group_name_Hall '-P 1'
loop_
_atom_site_label
_atom_site_type_symbol
_atom_site_fract_x
_atom_site_fract_y
_atom_site_fract_z
_atom_site_occupancy
Sr1 Sr 0.0000 0.0000 0.0000 1
Li1 Li 0.4971 0.4974 0.1934 1
Nb1 Nb 0.0000 0.0000 0.5000 1
F1 F 0.2066 0.7822 0.2858 1
F2 F 0.2072 0.7834 0.7148 1
F3 F 0.2726 0.2498 0.4960 1
F4 F 0.3386 0.3102 0.9999 1
# E_form (uncorrected) = -3.15 eV per atom
# VASP energy = -5.70 eV/atom



[5]
# PBE Li2NbTcF, optimized geometry
data_Li2NbTcF
_chemical_formula_sum 'Li2 Nb1 Tc1 F1'
_cell_length_a 5.1541
_cell_length_b 5.1541
_cell_length_c 3.9366
_cell_angle_alpha 90.00
_cell_angle_beta 90.00
_cell_angle_gamma 90.00
_space_group_name_H-M_alt 'P 4/m m m'
_space_group_IT_number 123
_space_group_name_Hall '-P 4 2'
loop_
_atom_site_label
_atom_site_type_symbol
_atom_site_fract_x
_atom_site_fract_y
_atom_site_fract_z
_atom_site_occupancy
Li1 Li 0.0000 0.5000 0.0000 1
Nb1 Nb 0.0000 0.0000 0.0000 1
Tc1 Tc 0.5000 0.5000 0.5000 1
F1 F 0.0000 0.0000 0.5000 1
# E_form (uncorrected) = 0.90 eV per atom
# VASP energy = -4.33 eV/atom
# DOS(E_F) = 10.1 states/eV per cell



[6]
# PBE LiNb2TeF, optimized geometry
data_LiNb2TeF
_chemical_formula_sum 'Li1 Nb2 Te1 F1'
_cell_length_a 4.2070
_cell_length_b 4.2070
_cell_length_c 5.3958
_cell_angle_alpha 90.00
_cell_angle_beta 90.00
_cell_angle_gamma 90.00
_space_group_name_H-M_alt 'P 4/m m m'
_space_group_IT_number 123
_space_group_name_Hall '-P 4 2'
loop_
_atom_site_label
_atom_site_type_symbol
_atom_site_fract_x
_atom_site_fract_y
_atom_site_fract_z
_atom_site_occupancy
Li1 Li 0.0000 0.0000 0.0000 1
Nb1 Nb 0.0000 0.5000 0.5000 1
Te1 Te 0.5000 0.5000 0.0000 1
F1 F 0.5000 0.5000 0.5000 1
# E_form (uncorrected) = -0.10 eV per atom
# VASP energy = -5.51 eV/atom
# DOS(E_F) = 4.3 states/eV per cell



[7]
# PBE LiNbTlF6, optimized geometry
data_LiNbTlF6
_chemical_formula_sum 'Li2 Nb2 Tl2 F12'
_cell_length_a 5.5516
_cell_length_b 5.5516
_cell_length_c 11.9361
_cell_angle_alpha 90.00
_cell_angle_beta 90.00
_cell_angle_gamma 120.00
_space_group_name_H-M_alt 'P -3 1 c'
_space_group_IT_number 163
_space_group_name_Hall '-P 3 2c'
loop_
_atom_site_label
_atom_site_type_symbol
_atom_site_fract_x
_atom_site_fract_y
_atom_site_fract_z
_atom_site_occupancy
Li1 Li 0.3333 0.6667 0.2500 1
Nb1 Nb 0.3333 0.6667 0.7500 1
Tl1 Tl 0.0000 0.0000 0.0000 1
F1 F 0.0072 0.3833 0.6591 1
# E_form (uncorrected) = -2.72 eV per atom
# VASP energy = -5.56 eV/atom
# DOS(E_F) = 6.0 states/eV per cell



[8]
# PBE Li3NbTl2F12, optimized geometry
data_Li3NbTl2F12
_chemical_formula_sum 'Li9 Nb3 Tl6 F36'
_cell_length_a 6.6303
_cell_length_b 6.6303
_cell_length_c 22.8639
_cell_angle_alpha 90.00
_cell_angle_beta 90.00
_cell_angle_gamma 120.00
_space_group_name_H-M_alt 'R -3 m'
_space_group_IT_number 166
_space_group_name_Hall '-R 3 2"'
loop_
_atom_site_label
_atom_site_type_symbol
_atom_site_fract_x
_atom_site_fract_y
_atom_site_fract_z
_atom_site_occupancy
Li1 Li 0.0000 0.5000 0.0000 1
Nb1 Nb 0.0000 0.0000 0.5000 1
Tl1 Tl 0.0000 0.0000 0.0732 1
F1 F 0.0339 0.5170 0.3675 1
F2 F 0.0595 0.5298 0.1174 1
# E_form (uncorrected) = -2.41 eV per atom
# VASP energy = -4.80 eV/atom
# DOS(E_F) = 10.6 states/eV per cell



[9]
# PBE LiNd2F, optimized geometry
data_LiNd2F
_chemical_formula_sum 'Li3 Nd6 F3'
_cell_length_a 3.4192
_cell_length_b 3.4192
_cell_length_c 30.8593
_cell_angle_alpha 90.00
_cell_angle_beta 90.00
_cell_angle_gamma 120.00
_space_group_name_H-M_alt 'R -3 m'
_space_group_IT_number 166
_space_group_name_Hall '-R 3 2"'
loop_
_atom_site_label
_atom_site_type_symbol
_atom_site_fract_x
_atom_site_fract_y
_atom_site_fract_z
_atom_site_occupancy
Li1 Li 0.0000 0.0000 0.0000 1
Nd1 Nd 0.0000 0.0000 0.1062 1
F1 F 0.0000 0.0000 0.5000 1
# E_form (uncorrected) = -0.88 eV per atom
# VASP energy = -4.21 eV/atom
# DOS(E_F) = 14.4 states/eV per cell



[10]
# PBE Li2Nd2F7, optimized geometry
data_Li2Nd2F7
_chemical_formula_sum 'Li2 Nd2 F7'
_cell_length_a 5.2679
_cell_length_b 5.3915
_cell_length_c 5.6179
_cell_angle_alpha 90.31
_cell_angle_beta 102.80
_cell_angle_gamma 94.34
_space_group_name_H-M_alt 'P -1'
_space_group_IT_number 2
_space_group_name_Hall '-P 1'
loop_
_atom_site_label
_atom_site_type_symbol
_atom_site_fract_x
_atom_site_fract_y
_atom_site_fract_z
_atom_site_occupancy
Li1 Li 0.0170 0.2065 0.2066 1
Nd1 Nd 0.4456 0.2489 0.7394 1
F1 F 0.0000 0.0000 0.5000 1
F2 F 0.2570 0.4613 0.3852 1
F3 F 0.2580 0.0450 0.0396 1
F4 F 0.2599 0.5816 0.8997 1
# E_form (uncorrected) = -3.42 eV per atom
# VASP energy = -5.83 eV/atom
# DOS(E_F) = 0.0 states/eV per cell